Record 1
This record from the Alexandria database describes a relaxed structure of LaCuHg2. The functional is PBE-GGA.

Results
**Formation enthalpy at 0 K**: -0.128 eV/atom
**Spin magnetization**: 0.2 μB per formula unit
**N(E_F)**: 3.638 states/eV/f.u.
**E**: -2.53 eV/atom
**Space group**: P4mm, No. 99

Unit cell a=3.586 b=3.586 c=7.450 alpha=90.00 beta=90.00 gamma=90.00
Atoms (fractional coordinates):
La 0.000 0.000 0.000
Cu 0.500 0.500 0.251
Hg 0.000 0.000 0.436
Hg 0.500 0.500 0.703

=====

Record 2
This record from the Alexandria database describes a relaxed structure of La2CuHg2. The functional is PBE-GGA.

Results
**Formation enthalpy at 0 K**: -0.239 eV/atom
**Spin magnetization**: 0.0 μB per formula unit
**Distance to the lowest polymorph of the same formula**: 0 meV/atom
**N(E_F)**: 4.488 states/eV/f.u.
**E**: -3.15 eV/atom
**Space group**: P4/mbm, No. 127

Unit cell a=7.465 b=7.465 c=4.867 alpha=90.00 beta=90.00 gamma=90.00
Atoms (fractional coordinates):
La 0.158 0.342 0.000
La 0.342 0.842 0.000
La 0.658 0.158 0.000
La 0.842 0.658 0.000
Cu 0.000 0.000 0.500
Cu 0.500 0.500 0.500
Hg 0.147 0.647 0.500
Hg 0.353 0.147 0.500
Hg 0.647 0.853 0.500
Hg 0.853 0.353 0.500

=====

Record 3
This record from the Alexandria database describes a relaxed structure of LaCu2Hg2. The functional is PBE-GGA.

Results
**Formation enthalpy at 0 K**: 0.056 eV/atom
**Spin magnetization**: 0.0 μB per formula unit
**Distance to the lowest polymorph of the same formula**: 246 meV/atom
**N(E_F)**: 4.573 states/eV/f.u.
**E**: -2.69 eV/atom
**Space group**: P4/mbm, No. 127

Unit cell a=8.140 b=8.140 c=3.193 alpha=90.00 beta=90.00 gamma=90.00
Atoms (fractional coordinates):
La 0.000 0.000 0.000
La 0.500 0.500 0.000
Cu 0.173 0.327 0.500
Cu 0.327 0.827 0.500
Cu 0.673 0.173 0.500
Cu 0.827 0.673 0.500
Hg 0.127 0.627 0.000
Hg 0.373 0.127 0.000
Hg 0.627 0.873 0.000
Hg 0.873 0.373 0.000

=====

Record 4
This record from the Alexandria database describes a relaxed structure of LaCuHg4. The functional is PBE-GGA.

Results
**Formation enthalpy at 0 K**: 0.027 eV/atom
**Spin magnetization**: 0.0 μB per formula unit
**N(E_F)**: 4.139 states/eV/f.u.
**E**: -1.68 eV/atom
**Space group**: F-43m, No. 216

Unit cell a=5.974 b=5.974 c=5.974 alpha=60.00 beta=60.00 gamma=60.00
Atoms (fractional coordinates):
La 0.000 0.000 0.000
Cu 0.750 0.750 0.750
Hg 0.376 0.376 0.376
Hg 0.376 0.376 0.873
Hg 0.376 0.873 0.376
Hg 0.873 0.376 0.376

=====

Record 5
This record from the Alexandria database describes a relaxed structure of LaCuHg2. The functional is PBE-GGA.

Results
**Formation enthalpy at 0 K**: -0.162 eV/atom
**Spin magnetization**: 0.0 μB per formula unit
**N(E_F)**: 3.006 states/eV/f.u.
**E**: -2.57 eV/atom
**Space group**: P2/m, No. 10

Unit cell a=3.941 b=4.686 c=5.532 alpha=90.00 beta=103.98 gamma=90.00
Atoms (fractional coordinates):
La 0.000 0.000 0.000
Cu 0.500 0.000 0.500
Hg 0.352 0.500 0.716
Hg 0.648 0.500 0.284

=====

Record 6
This record from the Alexandria database describes a relaxed structure of La2CuHg3. The functional is PBE-GGA.

Results
**Formation enthalpy at 0 K**: -0.408 eV/atom
**Spin magnetization**: 0.0 μB per formula unit
**N(E_F)**: 4.351 states/eV/f.u.
**E**: -2.88 eV/atom
**Space group**: Fmmm, No. 69

Unit cell a=9.872 b=9.299 c=6.126 alpha=76.53 beta=66.35 gamma=37.12
Atoms (fractional coordinates):
La 0.247 0.753 0.753
La 0.250 0.250 0.250
La 0.750 0.750 0.750
La 0.753 0.247 0.247
Cu 0.333 0.333 0.667
Cu 0.667 0.667 0.333
Hg 0.173 0.173 0.827
Hg 0.175 0.652 0.348
Hg 0.348 0.825 0.175
Hg 0.652 0.175 0.825
Hg 0.825 0.348 0.652
Hg 0.827 0.827 0.173

=====

Record 7
This record from the Alexandria database describes a relaxed structure of La3CuHg2. The functional is PBE-GGA.

Results
**Formation enthalpy at 0 K**: -0.367 eV/atom
**Spin magnetization**: 0.1 μB per formula unit
**N(E_F)**: 6.909 states/eV/f.u.
**E**: -3.61 eV/atom
**Space group**: Cmmm, No. 65

Unit cell a=8.537 b=8.537 c=7.756 alpha=90.00 beta=90.00 gamma=143.21
Atoms (fractional coordinates):
La 0.000 0.000 0.240
La 0.000 0.000 0.760
La 0.327 0.673 0.230
La 0.327 0.673 0.770
La 0.673 0.327 0.230
La 0.673 0.327 0.770
Cu 0.161 0.839 0.000
Cu 0.839 0.161 0.000
Hg 0.166 0.834 0.500
Hg 0.500 0.500 0.000
Hg 0.500 0.500 0.500
Hg 0.834 0.166 0.500

=====

Record 8
This record from the Alexandria database describes a relaxed structure of La2CuHg2. The functional is PBE-GGA.

Results
**Formation enthalpy at 0 K**: -0.093 eV/atom
**Spin magnetization**: 0.0 μB per formula unit
**Distance to the lowest polymorph of the same formula**: 146 meV/atom
**N(E_F)**: 6.576 states/eV/f.u.
**E**: -3.00 eV/atom
**Space group**: P4/mbm, No. 127

Unit cell a=7.828 b=7.828 c=4.849 alpha=90.00 beta=90.00 gamma=90.00
Atoms (fractional coordinates):
La 0.152 0.348 0.000
La 0.348 0.848 0.000
La 0.652 0.152 0.000
La 0.848 0.652 0.000
Cu 0.000 0.000 0.000
Cu 0.500 0.500 0.000
Hg 0.149 0.649 0.500
Hg 0.351 0.149 0.500
Hg 0.649 0.851 0.500
Hg 0.851 0.351 0.500

=====

Record 9
This record from the Alexandria database describes a relaxed structure of La3Cu3Hg. The functional is PBE-GGA.

Results
**Formation enthalpy at 0 K**: -0.243 eV/atom
**Spin magnetization**: 0.0 μB per formula unit
**N(E_F)**: 6.632 states/eV/f.u.
**E**: -4.15 eV/atom
**Space group**: Cmcm, No. 63

Unit cell a=5.727 b=5.727 c=14.309 alpha=90.00 beta=90.00 gamma=133.97
Atoms (fractional coordinates):
La 0.024 0.976 0.750
La 0.303 0.697 0.602
La 0.303 0.697 0.898
La 0.697 0.303 0.102
La 0.697 0.303 0.398
La 0.976 0.024 0.250
Cu 0.272 0.728 0.250
Cu 0.404 0.596 0.101
Cu 0.404 0.596 0.399
Cu 0.596 0.404 0.601
Cu 0.596 0.404 0.899
Cu 0.728 0.272 0.750
Hg 0.000 0.000 0.000
Hg 0.000 0.000 0.500

=====

Record 10
This record from the Alexandria database describes a relaxed structure of LaCuHg2. The functional is PBE-GGA.

Results
**Formation enthalpy at 0 K**: -0.029 eV/atom
**Spin magnetization**: 0.0 μB per formula unit
**N(E_F)**: 3.765 states/eV/f.u.
**E**: -2.44 eV/atom
**Space group**: I-42d, No. 122

Unit cell a=10.832 b=10.832 c=10.832 alpha=155.75 beta=155.75 gamma=34.56
Atoms (fractional coordinates):
La 0.000 0.000 0.000
La 0.750 0.250 0.500
Cu 0.250 0.750 0.500
Cu 0.500 0.500 0.000
Hg 0.179 0.625 0.054
Hg 0.375 0.429 0.554
Hg 0.571 0.125 0.946
Hg 0.875 0.821 0.446

=====

Record 11
This record from the Alexandria database describes a relaxed structure of LaCu2Hg2. The functional is PBE-GGA.

Results
**Formation enthalpy at 0 K**: -0.036 eV/atom
**Spin magnetization**: 0.0 μB per formula unit
**Distance to the lowest polymorph of the same formula**: 153 meV/atom
**N(E_F)**: 2.676 states/eV/f.u.
**E**: -2.78 eV/atom
**Space group**: P4/mbm, No. 127

Unit cell a=7.577 b=7.577 c=3.757 alpha=90.00 beta=90.00 gamma=90.00
Atoms (fractional coordinates):
La 0.000 0.000 0.000
La 0.500 0.500 0.000
Cu 0.114 0.386 0.000
Cu 0.386 0.886 0.000
Cu 0.614 0.114 0.000
Cu 0.886 0.614 0.000
Hg 0.176 0.676 0.500
Hg 0.324 0.176 0.500
Hg 0.676 0.824 0.500
Hg 0.824 0.324 0.500

=====

Record 12
This record from the Alexandria database describes a relaxed structure of La6CuHg. The functional is PBE-GGA.

Results
**Formation enthalpy at 0 K**: -0.138 eV/atom
**Spin magnetization**: 0.0 μB per formula unit
**N(E_F)**: 12.299 states/eV/f.u.
**E**: -4.38 eV/atom
**Space group**: I4/mmm, No. 139

Unit cell a=9.668 b=9.668 c=9.668 alpha=147.72 beta=147.72 gamma=46.30
Atoms (fractional coordinates):
La 0.106 0.606 0.500
La 0.249 0.249 0.000
La 0.394 0.894 0.500
La 0.606 0.106 0.500
La 0.751 0.751 0.000
La 0.894 0.394 0.500
Cu 0.500 0.500 0.000
Hg 0.000 0.000 0.000